# AcZrPaO6 GGA-PBE relaxed
# DFT total energy   -9.194 eV per atom
# Total moment   0.00 μB per formula unit
# DOS(E_F)   0.0000 states/eV per atom
# Uncorrected formation energy   -3428 meV/atom
data_AcZrPaO6
_chemical_formula_sum 'Ac2 Zr2 Pa2 O12'
_symmetry_space_group_name_H-M 'P 42 n m'
_symmetry_Int_Tables_number 102
_symmetry_space_group_name_Hall 'P 4n -2n'
_cell_length_a 5.2220
_cell_length_b 5.2220
_cell_length_c 10.7123
_cell_angle_alpha 90.00
_cell_angle_beta 90.00
_cell_angle_gamma 90.00
loop_
_atom_site_label
_atom_site_type_symbol
_atom_site_fract_x
_atom_site_fract_y
_atom_site_fract_z
Ac1 Ac 0.0000 0.0000 0.0000
Zr1 Zr 0.0000 0.0000 0.3318
Pa1 Pa 0.0000 0.0000 0.6651
O1 O 0.1707 0.1707 0.4946
O2 O 0.2030 0.2030 0.1870
O3 O 0.2088 0.2088 0.8113